Nd6Ho2In: relaxed, PBE-GGA.

a b c (Å): 16.168 11.917 6.204
angles (deg): 90.00 97.15 90.00
Space group C2/c (No. 15)
Unique sites:
Nd 0.051 0.139 0.015 x8
Nd 0.105 0.377 0.328 x8
Nd 0.215 0.354 0.852 x8
Ho 0.174 0.103 0.580 x8
In 0.000 0.376 0.750 x4

Energy relative to the elements in eV/atom: -0.04
ρ in g cm⁻³: 7.34